(1)
! Th2TcSb PBE optimized geometry; values from VASP
! ΔE_f (raw) = 0.304 eV per atom
! size of the total moment = 0.000 μB per cell
! uncorrected energy = -7.03 eV/atom
! excess energy over the best structure of this formula in the dataset = 691 meV/atom
! SG = R-3m, No. 166
! N(E_F) = 1.16 states/eV per atom
&SYSTEM
  ibrav = 0, nat = 4, ntyp = 3
/
ATOMIC_SPECIES
Th 232.04 Th.upf
Tc 98.00 Tc.upf
Sb 121.76 Sb.upf
CELL_PARAMETERS angstrom
1.690 0.976 10.802
-1.690 0.976 10.802
0.000 -1.951 10.802
ATOMIC_POSITIONS crystal
Th 0.079 0.079 0.079
Th 0.921 0.921 0.921
Tc 0.000 0.000 0.000
Sb 0.500 0.500 0.500

---

(2)
! Th2TcSb PBE optimized geometry; values from VASP
! ΔE_f (raw) = -0.387 eV per atom
! size of the total moment = 0.000 μB per cell
! uncorrected energy = -7.72 eV/atom
! excess energy over the best structure of this formula in the dataset = 0 meV/atom
! SG = P4/mmm, No. 123
! N(E_F) = 0.60 states/eV per atom
&SYSTEM
  ibrav = 0, nat = 4, ntyp = 3
/
ATOMIC_SPECIES
Th 232.04 Th.upf
Tc 98.00 Tc.upf
Sb 121.76 Sb.upf
CELL_PARAMETERS angstrom
3.490 0.000 0.000
0.000 3.490 0.000
0.000 0.000 8.447
ATOMIC_POSITIONS crystal
Th 0.000 0.000 0.213
Th 0.000 0.000 0.787
Tc 0.500 0.500 0.000
Sb 0.500 0.500 0.500

---

(3)
! Th3TcSb2 PBE optimized geometry; values from VASP
! ΔE_f (raw) = -0.623 eV per atom
! size of the total moment = 0.000 μB per cell
! uncorrected energy = -7.43 eV/atom
! excess energy over the best structure of this formula in the dataset = 0 meV/atom
! SG = Pnma, No. 62
! N(E_F) = 0.95 states/eV per atom
&SYSTEM
  ibrav = 0, nat = 24, ntyp = 3
/
ATOMIC_SPECIES
Th 232.04 Th.upf
Tc 98.00 Tc.upf
Sb 121.76 Sb.upf
CELL_PARAMETERS angstrom
12.758 0.000 0.000
0.000 4.391 0.000
0.000 0.000 12.023
ATOMIC_POSITIONS crystal
Th 0.052 0.250 0.126
Th 0.123 0.750 0.548
Th 0.241 0.250 0.782
Th 0.259 0.750 0.282
Th 0.377 0.250 0.048
Th 0.448 0.750 0.626
Th 0.552 0.250 0.374
Th 0.623 0.750 0.952
Th 0.741 0.250 0.718
Th 0.759 0.750 0.218
Th 0.877 0.250 0.452
Th 0.948 0.750 0.874
Tc 0.129 0.250 0.368
Tc 0.371 0.750 0.868
Tc 0.629 0.250 0.132
Tc 0.871 0.750 0.632
Sb 0.001 0.750 0.307
Sb 0.187 0.750 0.993
Sb 0.313 0.250 0.493
Sb 0.499 0.250 0.807
Sb 0.501 0.750 0.193
Sb 0.687 0.750 0.507
Sb 0.813 0.250 0.007
Sb 0.999 0.250 0.693

---

(4)
! Th8TcSb2 PBE optimized geometry; values from VASP
! ΔE_f (raw) = -0.206 eV per atom
! size of the total moment = 0.000 μB per cell
! uncorrected energy = -7.29 eV/atom
! SG = C2/m, No. 12
! N(E_F) = 1.13 states/eV per atom
&SYSTEM
  ibrav = 0, nat = 11, ntyp = 3
/
ATOMIC_SPECIES
Th 232.04 Th.upf
Tc 98.00 Tc.upf
Sb 121.76 Sb.upf
CELL_PARAMETERS angstrom
9.226 -2.777 0.000
9.226 2.777 0.000
-2.256 0.000 6.439
ATOMIC_POSITIONS crystal
Th 0.003 0.003 0.239
Th 0.222 0.222 0.125
Th 0.358 0.358 0.691
Th 0.410 0.410 0.252
Th 0.590 0.590 0.748
Th 0.642 0.642 0.309
Th 0.778 0.778 0.875
Th 0.997 0.997 0.761
Tc 0.500 0.500 0.000
Sb 0.170 0.170 0.613
Sb 0.830 0.830 0.387

---

(5)
! TiTcSb PBE optimized geometry; values from VASP
! ΔE_f (raw) = 0.071 eV per atom
! size of the total moment = 0.001 μB per cell
! uncorrected energy = -7.39 eV/atom
! SG = Pmma, No. 51
! N(E_F) = 0.93 states/eV per atom
&SYSTEM
  ibrav = 0, nat = 18, ntyp = 3
/
ATOMIC_SPECIES
Ti 47.87 Ti.upf
Tc 98.00 Tc.upf
Sb 121.76 Sb.upf
CELL_PARAMETERS angstrom
13.987 0.000 0.000
0.000 3.194 0.000
0.000 0.000 7.203
ATOMIC_POSITIONS crystal
Ti 0.097 0.000 0.069
Ti 0.250 0.500 0.597
Ti 0.403 0.000 0.069
Ti 0.597 0.000 0.931
Ti 0.750 0.500 0.403
Ti 0.903 0.000 0.931
Tc 0.109 0.000 0.449
Tc 0.250 0.000 0.896
Tc 0.391 0.000 0.449
Tc 0.609 0.000 0.551
Tc 0.750 0.000 0.104
Tc 0.891 0.000 0.551
Sb 0.044 0.500 0.731
Sb 0.250 0.500 0.217
Sb 0.456 0.500 0.731
Sb 0.544 0.500 0.269
Sb 0.750 0.500 0.783
Sb 0.956 0.500 0.269

---

(6)
! Ti6TcSb2 PBE optimized geometry; values from VASP
! ΔE_f (raw) = -0.364 eV per atom
! size of the total moment = 0.000 μB per cell
! uncorrected energy = -7.70 eV/atom
! SG = P-62m, No. 189
! N(E_F) = 1.21 states/eV per atom
&SYSTEM
  ibrav = 0, nat = 9, ntyp = 3
/
ATOMIC_SPECIES
Ti 47.87 Ti.upf
Tc 98.00 Tc.upf
Sb 121.76 Sb.upf
CELL_PARAMETERS angstrom
7.434 0.000 0.000
-3.717 6.438 0.000
0.000 0.000 3.410
ATOMIC_POSITIONS crystal
Ti 0.000 0.251 0.000
Ti 0.000 0.609 0.500
Ti 0.251 0.000 0.000
Ti 0.391 0.391 0.500
Ti 0.609 0.000 0.500
Ti 0.749 0.749 0.000
Tc 0.000 0.000 0.500
Sb 0.333 0.667 0.000
Sb 0.667 0.333 0.000

---

(7)
! Ti5Tc6Sb PBE optimized geometry; values from VASP
! ΔE_f (raw) = -0.427 eV per atom
! size of the total moment = 0.000 μB per cell
! uncorrected energy = -9.24 eV/atom
! SG = Immm, No. 71
! N(E_F) = 1.01 states/eV per atom
&SYSTEM
  ibrav = 0, nat = 12, ntyp = 3
/
ATOMIC_SPECIES
Ti 47.87 Ti.upf
Tc 98.00 Tc.upf
Sb 121.76 Sb.upf
CELL_PARAMETERS angstrom
-2.211 3.144 6.619
2.211 -3.144 6.619
2.211 3.144 -6.619
ATOMIC_POSITIONS crystal
Ti 0.000 0.000 0.000
Ti 0.168 0.668 0.500
Ti 0.336 0.336 0.000
Ti 0.664 0.664 0.000
Ti 0.832 0.332 0.500
Tc 0.077 0.831 0.246
Tc 0.240 0.500 0.740
Tc 0.416 0.169 0.246
Tc 0.584 0.831 0.754
Tc 0.760 0.500 0.260
Tc 0.923 0.169 0.754
Sb 0.500 0.000 0.500

---

(8)
! Ti2TcSb4 PBE optimized geometry; values from VASP
! ΔE_f (raw) = -0.183 eV per atom
! size of the total moment = 0.000 μB per cell
! uncorrected energy = -6.28 eV/atom
! SG = C2/m, No. 12
! N(E_F) = 0.74 states/eV per atom
&SYSTEM
  ibrav = 0, nat = 7, ntyp = 3
/
ATOMIC_SPECIES
Ti 47.87 Ti.upf
Tc 98.00 Tc.upf
Sb 121.76 Sb.upf
CELL_PARAMETERS angstrom
7.071 -1.679 0.000
7.071 1.679 0.000
-3.134 0.000 6.411
ATOMIC_POSITIONS crystal
Ti 0.249 0.249 0.300
Ti 0.751 0.751 0.700
Tc 0.000 0.000 0.000
Sb 0.090 0.090 0.426
Sb 0.365 0.365 0.059
Sb 0.635 0.635 0.941
Sb 0.910 0.910 0.574

---

(9)
! TiTcSb6 PBE optimized geometry; values from VASP
! ΔE_f (raw) = 0.147 eV per atom
! size of the total moment = 0.700 μB per cell
! uncorrected energy = -5.23 eV/atom
! SG = C2/m, No. 12
! N(E_F) = 0.78 states/eV per atom
&SYSTEM
  ibrav = 0, nat = 8, ntyp = 3
/
ATOMIC_SPECIES
Ti 47.87 Ti.upf
Tc 98.00 Tc.upf
Sb 121.76 Sb.upf
CELL_PARAMETERS angstrom
3.495 -4.369 0.000
3.495 4.369 0.000
-0.407 0.000 6.756
ATOMIC_POSITIONS crystal
Ti 0.000 0.000 0.000
Tc 0.500 0.500 0.500
Sb 0.164 0.164 0.643
Sb 0.196 0.539 0.187
Sb 0.461 0.804 0.813
Sb 0.539 0.196 0.187
Sb 0.804 0.461 0.813
Sb 0.836 0.836 0.357

---

(10)
! Ti6Tc5Sb PBE optimized geometry; values from VASP
! ΔE_f (raw) = -0.505 eV per atom
! size of the total moment = 0.000 μB per cell
! uncorrected energy = -9.12 eV/atom
! SG = Immm, No. 71
! N(E_F) = 0.70 states/eV per atom
&SYSTEM
  ibrav = 0, nat = 12, ntyp = 3
/
ATOMIC_SPECIES
Ti 47.87 Ti.upf
Tc 98.00 Tc.upf
Sb 121.76 Sb.upf
CELL_PARAMETERS angstrom
-2.211 3.194 6.613
2.211 -3.194 6.613
2.211 3.194 -6.613
ATOMIC_POSITIONS crystal
Ti 0.066 0.326 0.739
Ti 0.226 0.000 0.226
Ti 0.413 0.674 0.739
Ti 0.587 0.326 0.261
Ti 0.774 0.000 0.774
Ti 0.934 0.674 0.261
Tc 0.000 0.500 0.500
Tc 0.169 0.169 0.000
Tc 0.339 0.839 0.500
Tc 0.661 0.161 0.500
Tc 0.831 0.831 0.000
Sb 0.500 0.500 0.000

---

(11)
! Ti3TcSb PBE optimized geometry; values from VASP
! ΔE_f (raw) = 1.344 eV per atom
! size of the total moment = 0.000 μB per cell
! uncorrected energy = -6.29 eV/atom
! SG = Pm-3m, No. 221
! N(E_F) = 1.67 states/eV per atom
&SYSTEM
  ibrav = 0, nat = 5, ntyp = 3
/
ATOMIC_SPECIES
Ti 47.87 Ti.upf
Tc 98.00 Tc.upf
Sb 121.76 Sb.upf
CELL_PARAMETERS angstrom
4.874 0.000 0.000
0.000 4.874 0.000
0.000 0.000 4.874
ATOMIC_POSITIONS crystal
Ti 0.000 0.000 0.500
Ti 0.000 0.500 0.000
Ti 0.500 0.000 0.000
Tc 0.500 0.500 0.500
Sb 0.000 0.000 0.000

---

(12)
! Ti2Tc2Sb PBE optimized geometry; values from VASP
! ΔE_f (raw) = -0.033 eV per atom
! size of the total moment = 0.000 μB per cell
! uncorrected energy = -8.16 eV/atom
! SG = P4/mbm, No. 127
! N(E_F) = 2.13 states/eV per atom
&SYSTEM
  ibrav = 0, nat = 10, ntyp = 3
/
ATOMIC_SPECIES
Ti 47.87 Ti.upf
Tc 98.00 Tc.upf
Sb 121.76 Sb.upf
CELL_PARAMETERS angstrom
7.243 0.000 0.000
0.000 7.243 0.000
0.000 0.000 3.244
ATOMIC_POSITIONS crystal
Ti 0.152 0.348 0.000
Ti 0.348 0.848 0.000
Ti 0.652 0.152 0.000
Ti 0.848 0.652 0.000
Tc 0.144 0.644 0.500
Tc 0.356 0.144 0.500
Tc 0.644 0.856 0.500
Tc 0.856 0.356 0.500
Sb 0.000 0.000 0.500
Sb 0.500 0.500 0.500

---

(13)
! Ti2VTcSb PBE optimized geometry; values from VASP
! ΔE_f (raw) = 1.515 eV per atom
! size of the total moment = 0.153 μB per cell
! uncorrected energy = -6.36 eV/atom
! SG = P4/mmm, No. 123
! N(E_F) = 1.85 states/eV per atom
&SYSTEM
  ibrav = 0, nat = 5, ntyp = 4
/
ATOMIC_SPECIES
Ti 47.87 Ti.upf
V 50.94 V.upf
Tc 98.00 Tc.upf
Sb 121.76 Sb.upf
CELL_PARAMETERS angstrom
4.882 0.000 0.000
0.000 4.882 0.000
0.000 0.000 4.793
ATOMIC_POSITIONS crystal
Ti 0.000 0.500 0.000
Ti 0.500 0.000 0.000
V 0.000 0.000 0.500
Tc 0.500 0.500 0.500
Sb 0.500 0.500 0.000

---

(14)
! TiVTcSb PBE optimized geometry; values from VASP
! ΔE_f (raw) = -0.240 eV per atom
! size of the total moment = 2.716 μB per cell
! uncorrected energy = -8.12 eV/atom
! SG = F-43m, No. 216
! N(E_F) = 0.59 states/eV per atom
&SYSTEM
  ibrav = 0, nat = 4, ntyp = 4
/
ATOMIC_SPECIES
Ti 47.87 Ti.upf
V 50.94 V.upf
Tc 98.00 Tc.upf
Sb 121.76 Sb.upf
CELL_PARAMETERS angstrom
0.000 3.186 3.186
3.186 0.000 3.186
3.186 3.186 0.000
ATOMIC_POSITIONS crystal
Ti 0.000 0.000 0.000
V 0.750 0.750 0.750
Tc 0.250 0.250 0.250
Sb 0.500 0.500 0.500

---

(15)
! Zr2TiTcSb PBE optimized geometry; values from VASP
! ΔE_f (raw) = 1.011 eV per atom
! size of the total moment = 2.326 μB per cell
! uncorrected energy = -6.88 eV/atom
! SG = P4/mmm, No. 123
! N(E_F) = 0.93 states/eV per atom
&SYSTEM
  ibrav = 0, nat = 5, ntyp = 4
/
ATOMIC_SPECIES
Zr 91.22 Zr.upf
Ti 47.87 Ti.upf
Tc 98.00 Tc.upf
Sb 121.76 Sb.upf
CELL_PARAMETERS angstrom
4.834 0.000 0.000
0.000 4.834 0.000
0.000 0.000 5.017
ATOMIC_POSITIONS crystal
Zr 0.000 0.500 0.000
Zr 0.500 0.000 0.000
Ti 0.000 0.000 0.000
Tc 0.500 0.500 0.500
Sb 0.000 0.000 0.500

---

(16)
! Tl4TcSb PBE optimized geometry; values from VASP
! ΔE_f (raw) = 0.842 eV per atom
! size of the total moment = 3.423 μB per cell
! uncorrected energy = -3.15 eV/atom
! SG = F-43m, No. 216
! N(E_F) = 0.82 states/eV per atom
&SYSTEM
  ibrav = 0, nat = 6, ntyp = 3
/
ATOMIC_SPECIES
Tl 204.38 Tl.upf
Tc 98.00 Tc.upf
Sb 121.76 Sb.upf
CELL_PARAMETERS angstrom
0.000 4.422 4.422
4.422 0.000 4.422
4.422 4.422 0.000
ATOMIC_POSITIONS crystal
Tl 0.125 0.125 0.125
Tl 0.125 0.125 0.624
Tl 0.125 0.624 0.125
Tl 0.624 0.125 0.125
Tc 0.500 0.500 0.500
Sb 0.750 0.750 0.750

---

(17)
! Tl2TcSb PBE optimized geometry; values from VASP
! ΔE_f (raw) = 0.707 eV per atom
! size of the total moment = 2.360 μB per cell
! uncorrected energy = -4.10 eV/atom
! excess energy over the best structure of this formula in the dataset = 496 meV/atom
! SG = I-4m2, No. 119
! N(E_F) = 0.77 states/eV per atom
&SYSTEM
  ibrav = 0, nat = 4, ntyp = 3
/
ATOMIC_SPECIES
Tl 204.38 Tl.upf
Tc 98.00 Tc.upf
Sb 121.76 Sb.upf
CELL_PARAMETERS angstrom
-2.352 2.352 4.304
2.352 -2.352 4.304
2.352 2.352 -4.304
ATOMIC_POSITIONS crystal
Tl 0.000 0.000 0.000
Tl 0.750 0.250 0.500
Tc 0.500 0.500 0.000
Sb 0.250 0.750 0.500

---

(18)
! Tl2TcSb PBE optimized geometry; values from VASP
! ΔE_f (raw) = 0.643 eV per atom
! size of the total moment = 0.000 μB per cell
! uncorrected energy = -4.16 eV/atom
! excess energy over the best structure of this formula in the dataset = 432 meV/atom
! SG = P2/m, No. 10
! N(E_F) = 0.58 states/eV per atom
&SYSTEM
  ibrav = 0, nat = 4, ntyp = 3
/
ATOMIC_SPECIES
Tl 204.38 Tl.upf
Tc 98.00 Tc.upf
Sb 121.76 Sb.upf
CELL_PARAMETERS angstrom
3.702 0.000 0.000
0.000 5.144 0.000
-0.922 0.000 5.198
ATOMIC_POSITIONS crystal
Tl 0.191 0.000 0.271
Tl 0.809 0.000 0.729
Tc 0.500 0.500 0.500
Sb 0.500 0.500 0.000

---

(19)
! Tl2TcSb PBE optimized geometry; values from VASP
! ΔE_f (raw) = 0.289 eV per atom
! size of the total moment = 0.291 μB per cell
! uncorrected energy = -4.52 eV/atom
! excess energy over the best structure of this formula in the dataset = 78 meV/atom
! SG = Cm, No. 8
! N(E_F) = 0.64 states/eV per atom
&SYSTEM
  ibrav = 0, nat = 4, ntyp = 3
/
ATOMIC_SPECIES
Tl 204.38 Tl.upf
Tc 98.00 Tc.upf
Sb 121.76 Sb.upf
CELL_PARAMETERS angstrom
4.704 -1.619 0.000
4.704 1.619 0.000
-2.531 0.000 6.906
ATOMIC_POSITIONS crystal
Tl 0.000 0.000 0.000
Tl 0.178 0.178 0.709
Tc 0.631 0.631 0.355
Sb 0.350 0.350 0.356

---

(20)
! TlTcSb4 PBE optimized geometry; values from VASP
! ΔE_f (raw) = 0.778 eV per atom
! size of the total moment = 4.297 μB per cell
! uncorrected energy = -4.09 eV/atom
! SG = F-43m, No. 216
! N(E_F) = 0.89 states/eV per atom
&SYSTEM
  ibrav = 0, nat = 6, ntyp = 3
/
ATOMIC_SPECIES
Tl 204.38 Tl.upf
Tc 98.00 Tc.upf
Sb 121.76 Sb.upf
CELL_PARAMETERS angstrom
0.000 4.422 4.422
4.422 0.000 4.422
4.422 4.422 0.000
ATOMIC_POSITIONS crystal
Tl 0.000 0.000 0.000
Tc 0.250 0.250 0.250
Sb 0.127 0.624 0.624
Sb 0.624 0.127 0.624
Sb 0.624 0.624 0.127
Sb 0.624 0.624 0.624